An optimized crystal structure of PtS2, computed with PBE.

a b c (Å): 3.5606 3.5606 32.9409
angles (deg): 90.00 90.00 120.00
With the nearest neighbours (Å) after each atom.
Space group R3m (No. 160, hexagonal axes)
Unique sites:
Pt: 0.0000 0.0000 0.0000 (multiplicity 3)  6 S 2.40
Pt: 0.0000 0.0000 0.1658 (multiplicity 3)  6 S 2.44-2.47
S: 0.0000 0.0000 0.2955 (multiplicity 3)  3 Pt 2.40
S: 0.0000 0.0000 0.4594 (multiplicity 3)  3 Pt 2.44, 1 S 2.67
S: 0.0000 0.0000 0.5405 (multiplicity 3)  3 Pt 2.47, 1 S 2.67
S: 0.0000 0.0000 0.7044 (multiplicity 3)  3 Pt 2.40

Computed properties:
For the size of the total moment, the calculation gives 0.004 μB per cell. As for the uncorrected energy: -86.84 eV for the cell shown.